Record 1
{
  "formula": "Ba4Sr3Ag",
  "functional": "PBE-GGA",
  "state": "relaxed",
  "cell": [[4.250, 0.000, 0.000], [0.000, 4.250, 0.000], [0.000, 0.000, 23.520]],
  "species": ["Sr", "Sr", "Sr", "Ba", "Ba", "Ba", "Ba", "Ag"],
  "frac_coords": [[0.500, 0.500, 0.224], [0.500, 0.500, 0.500], [0.500, 0.500, 0.776], [0.000, 0.000, 0.917], [0.000, 0.000, 0.083], [0.000, 0.000, 0.362], [0.000, 0.000, 0.638], [0.500, 0.500, 0.000]],
  "ef_ev_per_atom": -0.051,
  "spacegroup": "P4/mmm",
  "magmom_total_mub_per_fu": 0.0
}

***

Record 2
{
  "formula": "BaSrAg3",
  "functional": "PBE-GGA",
  "state": "relaxed",
  "cell": [[-4.863, 3.154, 0.219], [-2.459, -4.026, 3.376], [1.988, 2.738, 4.712]],
  "species": ["Sr", "Ba", "Ag", "Ag", "Ag"],
  "frac_coords": [[0.000, 0.000, 0.000], [0.500, 0.500, 0.500], [0.000, 0.500, 0.000], [0.000, 0.000, 0.500], [0.500, 0.000, 0.000]],
  "ef_ev_per_atom": 0.198,
  "spacegroup": "Pm-3m",
  "magmom_total_mub_per_fu": 0.0
}

***

Record 3
{
  "formula": "BaSrAg",
  "functional": "PBE-GGA",
  "state": "relaxed",
  "cell": [[5.701, 0.000, 0.000], [2.851, 4.937, 0.000], [2.851, 1.646, 4.655]],
  "species": ["Sr", "Ba", "Ag"],
  "frac_coords": [[0.500, 0.500, 0.500], [0.000, 0.000, 0.000], [0.750, 0.750, 0.750]],
  "ef_ev_per_atom": -0.117,
  "spacegroup": "F-43m",
  "magmom_total_mub_per_fu": 0.0
}

***

Record 4
{
  "formula": "Ba5SrAg3",
  "functional": "PBE-GGA",
  "state": "relaxed",
  "cell": [[1.694, 7.719, -3.086], [4.581, -4.474, -5.566], [-12.432, -2.274, -3.295]],
  "species": ["Ba", "Ba", "Ba", "Ba", "Ba", "Ba", "Ba", "Ba", "Ba", "Ba", "Sr", "Sr", "Ag", "Ag", "Ag", "Ag", "Ag", "Ag"],
  "frac_coords": [[0.260, 0.735, 0.332], [0.260, 0.740, 0.000], [0.762, 0.762, 0.086], [0.765, 0.765, 0.422], [0.235, 0.235, 0.578], [0.238, 0.238, 0.914], [0.735, 0.260, 0.332], [0.740, 0.260, 0.000], [0.740, 0.265, 0.668], [0.265, 0.740, 0.668], [0.767, 0.767, 0.756], [0.233, 0.233, 0.244], [0.504, 0.504, 0.830], [0.002, 0.002, 0.329], [0.000, 0.000, 0.000], [0.500, 0.500, 0.500], [0.496, 0.496, 0.170], [0.998, 0.998, 0.671]],
  "ef_ev_per_atom": -0.101,
  "spacegroup": "C2/m",
  "magmom_total_mub_per_fu": 0.0
}

***

Number 2 is which compound?
BaSrAg3